The following is a DFT calculation (PBE-GGA) of crystalline Li2ZnHS at its relaxed geometry.

Summary:
Volume in Å³ per atom: 15.37
Magnetization in μB/cell: 0.0
Electronic total energy in eV/cell: -12.89

a = 4.7471 Å, b = 3.4113 Å, c = 4.7471 Å
α = 90.00°, β = 90.00°, γ = 90.00°
Last column: nearest neighbours and their distance in Å.
Positions (direct):
1 S 0.5000 0.5000 0.5000  8 Li 2.92
2 Li 0.5000 0.0000 0.0000  2 Zn 2.37
3 Li 0.0000 0.0000 0.5000  2 Zn 2.37
4 Zn 0.0000 0.0000 0.0000  2 H 1.71
5 H 0.0000 0.5000 0.0000  2 Zn 1.71

***

The following is a DFT calculation (PBE-GGA) of crystalline Cd2AuBr at its relaxed geometry.

Summary:
Volume in Å³ per atom: 28.13
Magnetization in μB/cell: 0.0
Electronic total energy in eV/cell: -7.78

a = 4.7045 Å, b = 4.7045 Å, c = 7.9640 Å
α = 58.85°, β = 58.85°, γ = 51.19°
Last column: nearest neighbours and their distance in Å.
Positions (direct):
1 Cd 0.9679 0.9679 0.9189  3 Au 2.82-2.84, 2 Br 2.99, 2 Cd 3.16
2 Cd 0.5321 0.5321 0.5811  3 Au 2.82-2.84, 2 Br 2.99, 2 Cd 3.16
3 Br 0.2500 0.2500 0.2500  4 Cd 2.99
4 Au 0.7500 0.7500 0.7500  6 Cd 2.82-2.84

***

The following is a DFT calculation (PBE-GGA) of crystalline TlCoCl2 at its relaxed geometry.

Summary:
Volume in Å³ per atom: 25.96
Magnetization in μB/cell: 2.4
Electronic total energy in eV/cell: -14.45

a = 3.8208 Å, b = 3.8208 Å, c = 8.8620 Å
α = 90.00°, β = 90.00°, γ = 126.61°
Last column: nearest neighbours and their distance in Å.
Positions (direct):
1 Co 0.5000 0.5000 0.2500  4 Cl 2.33
2 Tl 0.5000 0.5000 0.7500  4 Cl 3.33, 2 Tl 3.43
3 Cl 0.0000 0.0000 0.0717  2 Co 2.33
4 Cl 0.0000 0.0000 0.4283  2 Co 2.33